First-principles (PBE-GGA) data for a relaxed structure of NiOs2, as listed in Alexandria via LeMat-Bulk.

Properties
E = -8.83 eV/atom
Energy relative to the elements = 0.59 eV per atom
Magnetic moment = 0.00 μB/f.u.
Density of states at the Fermi level = 3.65 states/eV/f.u.

a = 6.195 Å, b = 6.195 Å, c = 3.692 Å
α = 90.00°, β = 90.00°, γ = 120.00°
Sites, in units of the cell vectors:
Ni  0.667  0.333  0.000
Ni  0.333  0.667  0.000
Ni  0.000  0.000  0.500
Os  0.249  0.000  0.000
Os  0.000  0.249  0.000
Os  0.410  0.410  0.500
Os  0.751  0.751  0.000
Os  0.590  0.000  0.500
Os  0.000  0.590  0.500

=====

First-principles (PBE-GGA) data for a relaxed structure of Pr6CdRh2I3, as listed in Alexandria via LeMat-Bulk.

Properties
E = -4.86 eV/atom
ΔE_f (raw) = -0.778 eV per atom
Magnetic moment = 0.00 μB/f.u.
Density of states at the Fermi level = 8.85 states/eV/f.u.

a = 7.469 Å, b = 7.469 Å, c = 8.564 Å
α = 98.38°, β = 98.38°, γ = 119.98°
Sites, in units of the cell vectors:
Pr  0.700  0.700  0.193
Pr  0.300  0.300  0.807
Pr  0.430  0.066  0.195
Pr  0.934  0.570  0.805
Pr  0.570  0.934  0.805
Pr  0.066  0.430  0.195
Cd  0.000  0.000  0.000
Rh  0.333  0.667  0.000
Rh  0.667  0.333  0.000
I  0.161  0.839  0.500
I  0.839  0.161  0.500
I  0.500  0.500  0.500

=====

First-principles (PBE-GGA) data for a relaxed structure of KMnCr2, as listed in Alexandria via LeMat-Bulk.

Properties
E = -6.14 eV/atom
Energy relative to the elements = 1.24 eV per atom
Magnetic moment = 4.15 μB/f.u.
Density of states at the Fermi level = 3.49 states/eV/f.u.

a = 4.882 Å, b = 4.882 Å, c = 4.882 Å
α = 119.87°, β = 119.87°, γ = 90.23°
Sites, in units of the cell vectors:
Cr  0.250  0.750  0.500
Cr  0.000  0.000  0.000
K  0.500  0.500  0.000
Mn  0.750  0.250  0.500

=====

First-principles (PBE-GGA) data for a relaxed structure of NdTmTc4, as listed in Alexandria via LeMat-Bulk.

Properties
E = -8.51 eV/atom
Energy relative to the elements = -0.06 eV per atom
Magnetic moment = 0.01 μB/f.u.
Density of states at the Fermi level = 9.11 states/eV/f.u.

a = 5.434 Å, b = 5.434 Å, c = 5.434 Å
α = 60.00°, β = 60.00°, γ = 60.00°
Sites, in units of the cell vectors:
Tc  0.625  0.625  0.124
Tc  0.625  0.124  0.625
Tc  0.124  0.625  0.625
Tc  0.625  0.625  0.625
Tm  0.000  0.000  0.000
Nd  0.250  0.250  0.250

=====

Repeat the third record exactly.
First-principles (PBE-GGA) data for a relaxed structure of KMnCr2, as listed in Alexandria via LeMat-Bulk.

Properties
E = -6.14 eV/atom
Energy relative to the elements = 1.24 eV per atom
Magnetic moment = 4.15 μB/f.u.
Density of states at the Fermi level = 3.49 states/eV/f.u.

a = 4.882 Å, b = 4.882 Å, c = 4.882 Å
α = 119.87°, β = 119.87°, γ = 90.23°
Sites, in units of the cell vectors:
Cr  0.250  0.750  0.500
Cr  0.000  0.000  0.000
K  0.500  0.500  0.000
Mn  0.750  0.250  0.500